1.
{"formula": "LaGd2In3PtAu2", "functional": "PBE", "state": "relaxed", "lattice": [[4.042, 0.000, 0.000], [0.000, 6.780, 3.896], [0.000, -6.780, 3.896]], "species": ["La", "Gd", "Gd", "In", "In", "In", "Pt", "Au", "Au"], "fractional_positions": [[0.000, 0.000, 0.000], [0.000, 0.404, 0.807], [0.000, 0.807, 0.404], [0.500, 0.153, 0.408], [0.500, 0.408, 0.153], [0.500, 0.656, 0.656], [0.000, 0.410, 0.410], [0.500, 0.074, 0.733], [0.500, 0.733, 0.074]], "space_group": "Amm2, No. 38", "crystal_system": "orthorhombic"}

=====

2.
{"formula": "LiGdInAu", "functional": "PBE", "state": "relaxed", "lattice": [[6.893, 0.000, 0.000], [0.000, 6.893, 0.000], [0.000, 0.000, 6.893]], "species": ["Li", "Li", "Li", "Li", "Gd", "Gd", "Gd", "Gd", "In", "In", "In", "In", "Au", "Au", "Au", "Au"], "fractional_positions": [[0.000, 0.000, 0.000], [0.000, 0.500, 0.500], [0.500, 0.000, 0.500], [0.500, 0.500, 0.000], [0.250, 0.250, 0.750], [0.250, 0.750, 0.250], [0.750, 0.250, 0.250], [0.750, 0.750, 0.750], [0.250, 0.250, 0.250], [0.250, 0.750, 0.750], [0.750, 0.250, 0.750], [0.750, 0.750, 0.250], [0.000, 0.000, 0.500], [0.000, 0.500, 0.000], [0.500, 0.000, 0.000], [0.500, 0.500, 0.500]], "space_group": "F-43m, No. 216", "crystal_system": "cubic"}

=====

3.
{"formula": "Gd3MgIn2Pd2Au", "functional": "PBE", "state": "relaxed", "lattice": [[4.023, 0.000, 0.000], [0.000, 6.655, 3.822], [0.000, -6.655, 3.822]], "species": ["Gd", "Gd", "Gd", "Mg", "In", "In", "Pd", "Pd", "Au"], "fractional_positions": [[0.000, 0.000, 0.000], [0.000, 0.401, 0.815], [0.000, 0.815, 0.401], [0.500, 0.661, 0.661], [0.500, 0.147, 0.405], [0.500, 0.405, 0.147], [0.500, 0.067, 0.737], [0.500, 0.737, 0.067], [0.000, 0.423, 0.423]], "space_group": "Amm2, No. 38", "crystal_system": "orthorhombic"}

=====

4.
{"formula": "Gd3MgIn3PtAu", "functional": "PBE", "state": "relaxed", "lattice": [[7.916, 0.000, 0.000], [-3.958, 6.856, 0.000], [0.000, 0.000, 3.924]], "species": ["Gd", "Gd", "Gd", "Mg", "In", "In", "In", "Pt", "Au"], "fractional_positions": [[0.082, 0.366, 0.000], [0.284, 0.918, 0.000], [0.634, 0.716, 0.000], [0.000, 0.000, 0.500], [0.397, 0.319, 0.500], [0.681, 0.078, 0.500], [0.922, 0.603, 0.500], [0.333, 0.667, 0.500], [0.667, 0.333, 0.000]], "space_group": "P-6, No. 174", "crystal_system": "hexagonal"}

=====

5.
{"formula": "Gd3Mg2InPt2Au", "functional": "PBE", "state": "relaxed", "lattice": [[4.016, 0.000, 0.000], [0.000, 6.562, 3.820], [0.000, -6.562, 3.820]], "species": ["Gd", "Gd", "Gd", "Mg", "Mg", "In", "Pt", "Pt", "Au"], "fractional_positions": [[0.000, 0.000, 0.000], [0.000, 0.166, 0.576], [0.000, 0.576, 0.166], [0.500, 0.579, 0.834], [0.500, 0.834, 0.579], [0.500, 0.330, 0.330], [0.500, 0.243, 0.905], [0.500, 0.905, 0.243], [0.000, 0.599, 0.599]], "space_group": "Amm2, No. 38", "crystal_system": "orthorhombic"}

=====

6.
{"formula": "Gd3MgIn2Pt2Au", "functional": "PBE", "state": "relaxed", "lattice": [[3.985, 0.000, 0.000], [0.000, 6.647, 3.824], [0.000, -6.647, 3.824]], "species": ["Gd", "Gd", "Gd", "Mg", "In", "In", "Pt", "Pt", "Au"], "fractional_positions": [[0.000, 0.000, 0.000], [0.000, 0.408, 0.822], [0.000, 0.822, 0.408], [0.500, 0.668, 0.668], [0.500, 0.151, 0.409], [0.500, 0.409, 0.151], [0.500, 0.068, 0.740], [0.500, 0.740, 0.068], [0.000, 0.425, 0.425]], "space_group": "Amm2, No. 38", "crystal_system": "orthorhombic"}

=====

7.
{"formula": "NdGd2In3PdAu2", "functional": "PBE", "state": "relaxed", "lattice": [[4.009, 0.000, 0.000], [0.000, 6.763, 3.908], [0.000, -6.763, 3.908]], "species": ["Nd", "Gd", "Gd", "In", "In", "In", "Pd", "Au", "Au"], "fractional_positions": [[0.000, 0.000, 0.000], [0.000, 0.409, 0.817], [0.000, 0.817, 0.409], [0.500, 0.158, 0.410], [0.500, 0.410, 0.158], [0.500, 0.660, 0.660], [0.000, 0.412, 0.412], [0.500, 0.077, 0.738], [0.500, 0.738, 0.077]], "space_group": "Amm2, No. 38", "crystal_system": "orthorhombic"}

=====

8.
{"formula": "Nd2GdIn3PtAu2", "functional": "PBE", "state": "relaxed", "lattice": [[4.032, 0.000, 0.000], [0.000, 6.762, 3.906], [0.000, -6.762, 3.906]], "species": ["Nd", "Nd", "Gd", "In", "In", "In", "Pt", "Au", "Au"], "fractional_positions": [[0.000, 0.202, 0.798], [0.000, 0.798, 0.202], [0.000, 0.604, 0.604], [0.500, 0.204, 0.455], [0.500, 0.455, 0.204], [0.500, 0.950, 0.950], [0.000, 0.206, 0.206], [0.500, 0.537, 0.864], [0.500, 0.864, 0.537]], "space_group": "Amm2, No. 38", "crystal_system": "orthorhombic"}

=====

9.
{"formula": "Nd2GdIn3Pt2Au", "functional": "PBE", "state": "relaxed", "lattice": [[3.998, 0.000, 0.000], [0.000, 6.743, 3.905], [0.000, -6.743, 3.905]], "species": ["Nd", "Nd", "Gd", "In", "In", "In", "Pt", "Pt", "Au"], "fractional_positions": [[0.000, 0.205, 0.795], [0.000, 0.795, 0.205], [0.000, 0.616, 0.616], [0.500, 0.208, 0.468], [0.500, 0.468, 0.208], [0.500, 0.942, 0.942], [0.500, 0.540, 0.868], [0.500, 0.868, 0.540], [0.000, 0.207, 0.207]], "space_group": "Amm2, No. 38", "crystal_system": "orthorhombic"}

=====

10.
{"formula": "NdGd2In3PtAu2", "functional": "PBE", "state": "relaxed", "lattice": [[4.012, 0.000, 0.000], [0.000, 6.733, 3.887], [0.000, -6.733, 3.887]], "species": ["Nd", "Gd", "Gd", "In", "In", "In", "Pt", "Au", "Au"], "fractional_positions": [[0.000, 0.000, 0.000], [0.000, 0.404, 0.806], [0.000, 0.806, 0.404], [0.500, 0.151, 0.406], [0.500, 0.406, 0.151], [0.500, 0.657, 0.657], [0.000, 0.408, 0.408], [0.500, 0.072, 0.733], [0.500, 0.733, 0.072]], "space_group": "Amm2, No. 38", "crystal_system": "orthorhombic"}

=====

11.
{"formula": "Gd3In3NiAu2", "functional": "PBE", "state": "relaxed", "lattice": [[7.753, 0.000, 0.000], [-3.877, 6.715, 0.000], [0.000, 0.000, 3.913]], "species": ["Gd", "Gd", "Gd", "In", "In", "In", "Ni", "Au", "Au"], "fractional_positions": [[0.000, 0.595, 0.000], [0.405, 0.405, 0.000], [0.595, 0.000, 0.000], [0.000, 0.243, 0.500], [0.243, 0.000, 0.500], [0.757, 0.757, 0.500], [0.000, 0.000, 0.000], [0.333, 0.667, 0.500], [0.667, 0.333, 0.500]], "space_group": "P-62m, No. 189", "crystal_system": "hexagonal"}

=====

12.
{"formula": "Gd3In3NiPtAu", "functional": "PBE", "state": "relaxed", "lattice": [[7.734, 0.000, 0.000], [-3.867, 6.698, 0.000], [0.000, 0.000, 3.853]], "species": ["Gd", "Gd", "Gd", "In", "In", "In", "Ni", "Pt", "Au"], "fractional_positions": [[0.013, 0.598, 0.000], [0.402, 0.415, 0.000], [0.585, 0.987, 0.000], [0.245, 0.001, 0.500], [0.756, 0.755, 0.500], [0.999, 0.244, 0.500], [0.000, 0.000, 0.000], [0.333, 0.667, 0.500], [0.667, 0.333, 0.500]], "space_group": "P-6, No. 174", "crystal_system": "hexagonal"}

=====

13.
{"formula": "Gd2TmIn3Ni2Au", "functional": "PBE", "state": "relaxed", "lattice": [[3.925, 0.000, 0.000], [0.000, 6.526, 3.769], [0.000, -6.526, 3.769]], "species": ["Gd", "Gd", "Tm", "In", "In", "In", "Ni", "Ni", "Au"], "fractional_positions": [[0.000, 0.204, 0.796], [0.000, 0.796, 0.204], [0.000, 0.386, 0.386], [0.500, 0.069, 0.069], [0.500, 0.521, 0.793], [0.500, 0.793, 0.521], [0.500, 0.130, 0.460], [0.500, 0.460, 0.130], [0.000, 0.792, 0.792]], "space_group": "Amm2, No. 38", "crystal_system": "orthorhombic"}

=====

14.
{"formula": "Gd3In3Pd2Au", "functional": "PBE", "state": "relaxed", "lattice": [[7.742, 0.000, 0.000], [-3.871, 6.705, 0.000], [0.000, 0.000, 3.968]], "species": ["Gd", "Gd", "Gd", "In", "In", "In", "Pd", "Pd", "Au"], "fractional_positions": [[0.000, 0.408, 0.000], [0.408, 0.000, 0.000], [0.592, 0.592, 0.000], [0.000, 0.735, 0.500], [0.265, 0.265, 0.500], [0.735, 0.000, 0.500], [0.333, 0.667, 0.500], [0.667, 0.333, 0.500], [0.000, 0.000, 0.000]], "space_group": "P-62m, No. 189", "crystal_system": "hexagonal"}

=====

15.
{"formula": "Gd3In3PdAu2", "functional": "PBE", "state": "relaxed", "lattice": [[7.788, 0.000, 0.000], [-3.894, 6.745, 0.000], [0.000, 0.000, 3.969]], "species": ["Gd", "Gd", "Gd", "In", "In", "In", "Pd", "Au", "Au"], "fractional_positions": [[0.000, 0.406, 0.000], [0.406, 0.000, 0.000], [0.594, 0.594, 0.000], [0.000, 0.747, 0.500], [0.253, 0.253, 0.500], [0.747, 0.000, 0.500], [0.000, 0.000, 0.000], [0.333, 0.667, 0.500], [0.667, 0.333, 0.500]], "space_group": "P-62m, No. 189", "crystal_system": "hexagonal"}

=====

16.
{"formula": "Gd2TmIn3PdAu2", "functional": "PBE", "state": "relaxed", "lattice": [[3.931, 0.000, 0.000], [0.000, 6.710, 3.889], [0.000, -6.710, 3.889]], "species": ["Gd", "Gd", "Tm", "In", "In", "In", "Pd", "Au", "Au"], "fractional_positions": [[0.000, 0.203, 0.797], [0.000, 0.797, 0.203], [0.000, 0.393, 0.393], [0.500, 0.051, 0.051], [0.500, 0.542, 0.797], [0.500, 0.797, 0.542], [0.000, 0.793, 0.793], [0.500, 0.134, 0.462], [0.500, 0.462, 0.134]], "space_group": "Amm2, No. 38", "crystal_system": "orthorhombic"}

=====

17.
{"formula": "Gd2TmIn3Pd2Au", "functional": "PBE", "state": "relaxed", "lattice": [[3.841, 0.000, 0.000], [0.000, 6.739, 3.907], [0.000, -6.739, 3.907]], "species": ["Gd", "Gd", "Tm", "In", "In", "In", "Pd", "Pd", "Au"], "fractional_positions": [[0.000, 0.203, 0.797], [0.000, 0.797, 0.203], [0.000, 0.610, 0.610], [0.500, 0.205, 0.473], [0.500, 0.473, 0.205], [0.500, 0.934, 0.934], [0.500, 0.538, 0.866], [0.500, 0.866, 0.538], [0.000, 0.205, 0.205]], "space_group": "Amm2, No. 38", "crystal_system": "orthorhombic"}

=====

18.
{"formula": "GdTm2In3Pd2Au", "functional": "PBE", "state": "relaxed", "lattice": [[3.797, 0.000, 0.000], [0.000, 6.766, 3.891], [0.000, -6.766, 3.891]], "species": ["Gd", "Tm", "Tm", "In", "In", "In", "Pd", "Pd", "Au"], "fractional_positions": [[0.000, 0.000, 0.000], [0.000, 0.405, 0.811], [0.000, 0.811, 0.405], [0.500, 0.135, 0.407], [0.500, 0.407, 0.135], [0.500, 0.675, 0.675], [0.500, 0.074, 0.736], [0.500, 0.736, 0.074], [0.000, 0.407, 0.407]], "space_group": "Amm2, No. 38", "crystal_system": "orthorhombic"}

=====

19.
{"formula": "GdY2In3PdAu2", "functional": "PBE", "state": "relaxed", "lattice": [[3.934, 0.000, 0.000], [0.000, 6.733, 3.886], [0.000, -6.733, 3.886]], "species": ["Gd", "Y", "Y", "In", "In", "In", "Pd", "Au", "Au"], "fractional_positions": [[0.000, 0.000, 0.000], [0.000, 0.406, 0.811], [0.000, 0.811, 0.406], [0.500, 0.152, 0.407], [0.500, 0.407, 0.152], [0.500, 0.661, 0.661], [0.000, 0.407, 0.407], [0.500, 0.073, 0.739], [0.500, 0.739, 0.073]], "space_group": "Amm2, No. 38", "crystal_system": "orthorhombic"}

=====

20.
{"formula": "Gd2YIn3PdAu2", "functional": "PBE", "state": "relaxed", "lattice": [[3.952, 0.000, 0.000], [0.000, 6.748, 3.895], [0.000, -6.748, 3.895]], "species": ["Gd", "Gd", "Y", "In", "In", "In", "Pd", "Au", "Au"], "fractional_positions": [[0.000, 0.204, 0.796], [0.000, 0.796, 0.204], [0.000, 0.610, 0.610], [0.500, 0.204, 0.458], [0.500, 0.458, 0.204], [0.500, 0.950, 0.950], [0.000, 0.204, 0.204], [0.500, 0.538, 0.870], [0.500, 0.870, 0.538]], "space_group": "Amm2, No. 38", "crystal_system": "orthorhombic"}

=====

Number 1: energy -42.495 eV per formula unit. Number 2: energy -15.111 eV per formula unit. Number 3: energy -41.345 eV per formula unit. Number 4: energy -39.104 eV per formula unit. Number 5: energy -43.123 eV per formula unit. Number 6: energy -44.441 eV per formula unit. Number 7: energy -41.058 eV per formula unit. Number 8: energy -42.344 eV per formula unit. Number 9: energy -45.779 eV per formula unit. Number 10: energy -42.312 eV per formula unit. Number 11: energy -40.571 eV per formula unit. Number 12: energy -44.172 eV per formula unit. Number 13: energy -41.348 eV per formula unit. Number 14: energy -42.815 eV per formula unit. Number 15: energy -41.039 eV per formula unit. Number 16: energy -40.811 eV per formula unit. Number 17: energy -42.592 eV per formula unit. Number 18: energy -42.384 eV per formula unit. Number 19: energy -44.719 eV per formula unit. Number 20: energy -42.880 eV per formula unit.